A plane-wave DFT calculation with PBE was carried out for Pa2ZnMo after structural relaxation.

Structure (POSCAR):
```
Pa2ZnMo
1.0
6.9903 0.0000 0.0000
0.0000 6.9903 0.0000
0.0000 0.0000 6.9903
Pa Zn Mo
8 4 4
Cartesian
1.7476 1.7476 1.7476
1.7476 1.7476 5.2427
1.7476 5.2427 1.7476
1.7476 5.2427 5.2427
5.2427 1.7476 1.7476
5.2427 1.7476 5.2427
5.2427 5.2427 1.7476
5.2427 5.2427 5.2427
0.0000 0.0000 0.0000
0.0000 3.4952 3.4952
3.4952 0.0000 3.4952
3.4952 3.4952 0.0000
0.0000 0.0000 3.4952
0.0000 3.4952 0.0000
3.4952 0.0000 0.0000
3.4952 3.4952 3.4952
```

Computed properties:
ΔE_f = 59 kJ/mol of formula units
offset from the most stable computed form = 54 meV/atom